*w*
CsV2ReO | GGA+U | optimized geometry

Structure (POSCAR):
```
CsV2ReO
1.0
5.281 0.000 0.000
0.000 5.281 0.000
0.000 0.000 3.847
Cs V Re O
1 2 1 1
Direct
0.000 0.000 0.000
0.000 0.500 0.500
0.500 0.000 0.500
0.500 0.500 0.000
0.500 0.500 0.500
```

Computed properties:
Density, Mg/m³: 6.764

=====

*x*
CsV2ReO | GGA+U | optimized geometry

Structure (POSCAR):
```
CsV2ReO
1.0
4.179 0.000 0.000
0.000 4.179 0.000
0.000 0.000 5.350
Cs V Re O
1 2 1 1
Direct
0.000 0.000 0.000
0.000 0.500 0.500
0.500 0.000 0.500
0.500 0.500 0.000
0.000 0.000 0.500
```

Computed properties:
Density, Mg/m³: 7.765

=====

Among the structures shown above, *x* is the most stable, with the second-best lying 118 meV per atom higher.